Run a
The following is a PBE calculation of an optimized crystal structure of BaSiAu3, from Alexandria.

It has space group P4mm (No. 99), with a = 4.8308 Å, b = 4.8308 Å, c = 6.7874 Å, α = 90.00°, β = 90.00° and γ = 90.00°. The inequivalent atoms are Ba at (0.0000, 0.0000, 0.0000), Si at (0.5000, 0.5000, 0.7660), Au at (0.0000, 0.0000, 0.4586) and Au at (0.0000, 0.5000, 0.6571).

---

Run b
The following is a PBE calculation of an optimized crystal structure of BaSiAu3, from Alexandria.

It has space group P2_1/m (No. 11), with a = 4.7132 Å, b = 9.5199 Å, c = 6.5087 Å, α = 90.00°, β = 111.08° and γ = 90.00°. The inequivalent atoms are Ba at (0.0719, 0.2500, 0.1391), Si at (0.2084, 0.7500, 0.4208), Au at (0.3162, 0.5347, 0.6340) and Au at (0.3581, 0.2500, 0.7130).

---

Top of the stability list: run b, leading by 21.8 kJ/mol of atoms.

---

Run a
The following is a PBE calculation of an optimized crystal structure of BaSiAu3, from Alexandria.

It has space group C2/c (No. 15), with a = 13.3252 Å, b = 10.4020 Å, c = 6.7601 Å, α = 90.00°, β = 105.92° and γ = 90.00°. The inequivalent atoms are Ba at (0.0000, 0.0216, 0.2500), Ba at (0.0000, 0.3615, 0.7500), Si at (0.1035, 0.3356, 0.3151), Au at (0.1729, 0.1748, 0.6056), Au at (0.1737, 0.1797, 0.0797) and Au at (0.2002, 0.4954, 0.0894).

---

Run b
The following is a PBE calculation of an optimized crystal structure of BaSiAu3, from Alexandria.

It has space group Pm-3m (No. 221), with a = 5.9933 Å, b = 5.9933 Å, c = 5.9933 Å, α = 90.00°, β = 90.00° and γ = 90.00°. The inequivalent atoms are Ba at (0.0000, 0.0000, 0.0000), Si at (0.5000, 0.5000, 0.5000) and Au at (0.0000, 0.0000, 0.5000).

---

Top of the stability list: run a, leading by 140.7 kJ/mol of atoms.

---

Run a
The following is a PBE calculation of an optimized crystal structure of BaSiAu3, from Alexandria.

It has space group R3m (No. 160, hexagonal axes), with a = 6.8784 Å, b = 6.8784 Å, c = 8.7631 Å, α = 90.00°, β = 90.00° and γ = 120.00°. The inequivalent atoms are Ba at (0.0000, 0.0000, 0.0000), Si at (0.0000, 0.0000, 0.4077) and Au at (0.1920, 0.3840, 0.3079).

---

Run b
The following is a PBE calculation of an optimized crystal structure of BaSiAu3, from Alexandria.

It has space group Cmcm (No. 63), with a = 5.5040 Å, b = 18.5298 Å, c = 5.3961 Å, α = 90.00°, β = 90.00° and γ = 90.00°. The inequivalent atoms are Ba at (0.0000, 0.1134, 0.2500), Si at (0.0000, 0.3915, 0.2500), Au at (0.0000, 0.5000, 0.0000) and Au at (0.2417, 0.2134, 0.7500).

---

Run c
The following is a PBE calculation of an optimized crystal structure of BaSiAu3, from Alexandria.

It has space group P2_1/c (No. 14), with a = 8.6727 Å, b = 6.5959 Å, c = 8.7350 Å, α = 90.00°, β = 96.47° and γ = 90.00°. The inequivalent atoms are Ba at (0.1520, 0.0962, 0.1929), Si at (0.4314, 0.6678, 0.0431), Au at (0.1401, 0.5919, 0.0439), Au at (0.2573, 0.5984, 0.3618) and Au at (0.4731, 0.1375, 0.7230).

---

Run d
The following is a PBE calculation of an optimized crystal structure of BaSiAu3, from Alexandria.

It has space group C2/c (No. 15), with a = 15.4255 Å, b = 9.1454 Å, c = 8.4232 Å, α = 90.00°, β = 114.50° and γ = 90.00°. The inequivalent atoms are Ba at (0.1597, 0.1933, 0.2346), Si at (0.0000, 0.2453, 0.7500), Si at (0.0000, 0.4747, 0.2500), Au at (0.0574, 0.3479, 0.5370), Au at (0.1598, 0.1500, 0.8498) and Au at (0.1767, 0.4767, 0.9270).

---

Top of the stability list: run a, leading by 11.1 kJ/mol of atoms.

---

Run a
The following is a PBE calculation of an optimized crystal structure of BaSiAu3, from Alexandria.

It has space group Pma2 (No. 28), with a = 9.3592 Å, b = 5.2969 Å, c = 4.7086 Å, α = 90.00°, β = 90.00° and γ = 90.00°. The inequivalent atoms are Ba at (0.0000, 0.0000, 0.0000), Si at (0.2500, 0.3074, 0.5015), Au at (0.0000, 0.5000, 0.4980), Au at (0.2500, 0.4867, 0.0010) and Au at (0.2500, 0.8409, 0.5008).

---

Run b
The following is a PBE calculation of an optimized crystal structure of BaSiAu3, from Alexandria.

It has space group Amm2 (No. 38), with a = 3.6351 Å, b = 5.6412 Å, c = 11.4955 Å, α = 90.00°, β = 90.00° and γ = 90.00°. The inequivalent atoms are Ba at (0.0000, 0.0000, 0.0000), Si at (0.5000, 0.0000, 0.3548), Au at (0.0000, 0.2450, 0.7498) and Au at (0.5000, 0.0000, 0.5760).

---

Run c
The following is a PBE calculation of an optimized crystal structure of BaSiAu3, from Alexandria.

It has space group I-4m2 (No. 119), with a = 5.9927 Å, b = 5.9927 Å, c = 15.5126 Å, α = 90.00°, β = 90.00° and γ = 90.00°. The inequivalent atoms are Ba at (0.0000, 0.0000, 0.1450), Si at (0.0000, 0.0000, 0.5000), Si at (0.0000, 0.5000, 0.2500), Au at (0.0000, 0.2249, 0.3627) and Au at (0.0000, 0.5000, 0.5146).

---

Run d
The following is a PBE calculation of an optimized crystal structure of BaSiAu3, from Alexandria.

It has space group I-4m2 (No. 119), with a = 5.1574 Å, b = 5.1574 Å, c = 23.1043 Å, α = 90.00°, β = 90.00° and γ = 90.00°. The inequivalent atoms are Ba at (0.0000, 0.0000, 0.0000), Ba at (0.0000, 0.5000, 0.2500), Si at (0.0000, 0.5000, 0.6939), Au at (0.0000, 0.0000, 0.3376) and Au at (0.0000, 0.2495, 0.1234).

---

Top of the stability list: run a, leading by 18.1 kJ/mol of atoms.

---

Run a
The following is a PBE calculation of an optimized crystal structure of BaSiAu3, from Alexandria.

It has space group Pc (No. 7), with a = 6.6646 Å, b = 5.2774 Å, c = 9.4265 Å, α = 90.00°, β = 134.99° and γ = 90.00°. The inequivalent atoms are Ba at (0.0000, 0.0000, 0.0000), Si at (0.4982, 0.3135, 0.4976), Au at (0.4987, 0.1523, 0.9984), Au at (0.5022, 0.4995, 0.2500) and Au at (0.9986, 0.4997, 0.2511).

---

Run b
The following is a PBE calculation of an optimized crystal structure of BaSiAu3, from Alexandria.

It has space group C2/m (No. 12), with a = 15.9473 Å, b = 4.5571 Å, c = 7.3919 Å, α = 90.00°, β = 108.71° and γ = 90.00°. The inequivalent atoms are Ba at (0.1166, 0.0000, 0.3635), Si at (0.0610, 0.5000, 0.9427), Au at (0.1007, 0.0000, 0.8538), Au at (0.1777, 0.5000, 0.7320) and Au at (0.2141, 0.5000, 0.1685).

---

Top of the stability list: run a, leading by 12.5 kJ/mol of atoms.

---

Run a
The following is a PBE calculation of an optimized crystal structure of BaSiAu3, from Alexandria.

It has space group P6_3/mmc (No. 194), with a = 5.3537 Å, b = 5.3537 Å, c = 9.6153 Å, α = 90.00°, β = 90.00° and γ = 120.00°. The inequivalent atoms are Ba at (0.3333, 0.6667, 0.2500), Si at (0.0000, 0.0000, 0.0000), Au at (0.0000, 0.0000, 0.2500) and Au at (0.3333, 0.6667, 0.5892).

---

Run b
The following is a PBE calculation of an optimized crystal structure of BaSiAu3, from Alexandria.

It has space group Cmcm (No. 63), with a = 7.3254 Å, b = 21.7057 Å, c = 5.1466 Å, α = 90.00°, β = 90.00° and γ = 90.00°. The inequivalent atoms are Ba at (0.0000, 0.1402, 0.2500), Si at (0.0000, 0.2934, 0.2500), Au at (0.0000, 0.0000, 0.0000) and Au at (0.1837, 0.2344, 0.7500).

---

Run c
The following is a PBE calculation of an optimized crystal structure of BaSiAu3, from Alexandria.

It has space group Fd-3m (No. 227, origin choice 2), with a = 13.1351 Å, b = 13.1351 Å, c = 13.1351 Å, α = 90.00°, β = 90.00° and γ = 90.00°. The inequivalent atoms are Ba at (0.0000, 0.0000, 0.0000), Si at (0.0000, 0.0000, 0.5000) and Au at (0.0634, 0.3750, 0.8750).

---

Run d
The following is a PBE calculation of an optimized crystal structure of BaSiAu3, from Alexandria.

It has space group R-3m (No. 166, hexagonal axes), with a = 6.7311 Å, b = 6.7311 Å, c = 20.3975 Å, α = 90.00°, β = 90.00° and γ = 120.00°. The inequivalent atoms are Ba at (0.0000, 0.0000, 0.1144), Si at (0.0000, 0.0000, 0.4407) and Au at (0.0569, 0.5284, 0.9306).

---

Top of the stability list: run d, leading by 23.6 kJ/mol of atoms.

---

Run a
The following is a PBE calculation of an optimized crystal structure of BaSiAu3, from Alexandria.

It has space group P2_1/m (No. 11), with a = 4.9278 Å, b = 6.8285 Å, c = 7.8014 Å, α = 90.00°, β = 90.05° and γ = 90.00°. The inequivalent atoms are Ba at (0.2500, 0.2500, 0.1784), Si at (0.2543, 0.2500, 0.7445), Au at (0.2455, 0.7500, 0.1974) and Au at (0.2501, 0.5456, 0.5719).

---

Run b
The following is a PBE calculation of an optimized crystal structure of BaSiAu3, from Alexandria.

It has space group C2/m (No. 12), with a = 17.0118 Å, b = 4.6989 Å, c = 7.4481 Å, α = 90.00°, β = 115.55° and γ = 90.00°. The inequivalent atoms are Ba at (0.1439, 0.0000, 0.2256), Si at (0.1727, 0.5000, 0.8850), Au at (0.0238, 0.5000, 0.8408), Au at (0.1173, 0.5000, 0.5174) and Au at (0.1894, 0.0000, 0.7870).

---

Run c
The following is a PBE calculation of an optimized crystal structure of BaSiAu3, from Alexandria.

It has space group P6_3/mmc (No. 194), with a = 4.3667 Å, b = 4.3667 Å, c = 18.0531 Å, α = 90.00°, β = 90.00° and γ = 120.00°. The inequivalent atoms are Ba at (0.0000, 0.0000, 0.0000), Si at (0.3333, 0.6667, 0.2500), Au at (0.0000, 0.0000, 0.2500) and Au at (0.3333, 0.6667, 0.1148).

---

Top of the stability list: run a, leading by 3.2 kJ/mol of atoms.